Record 1
## NaCoF5 (PBE with a Hubbard U)

Data for an optimized crystal structure of NaCoF5.

**Electronic total energy**: -4.219 eV/atom
**SG**: C2/c

abc: 5.5211 5.5211 7.7818
angles: 69.06 69.06 69.46
Last column: nearest neighbours and their distance in Å.
Fractional positions:
Na (0.5453, 0.4547, 0.7500)  7 F 2.34-2.49
Na (0.4547, 0.5453, 0.2500)  7 F 2.34-2.49
Co (0.0000, 0.0000, 0.0000)  4 F 1.76-1.80
Co (0.0000, 0.0000, 0.5000)  4 F 1.76-1.80
F (0.2337, 0.1956, 0.8878)  1 Co 1.76
F (0.2968, 0.7325, 0.5307)  1 Co 1.80
F (0.1956, 0.2337, 0.3878)  1 Co 1.76
F (0.9195, 0.0805, 0.7500)  2 Co 2.01
F (0.2675, 0.7032, 0.9693)  1 Co 1.80
F (0.7325, 0.2968, 0.0307)  1 Co 1.80
F (0.0805, 0.9195, 0.2500)  2 Co 2.01
F (0.8044, 0.7663, 0.6122)  1 Co 1.76
F (0.7032, 0.2675, 0.4693)  1 Co 1.80
F (0.7663, 0.8044, 0.1122)  1 Co 1.76

***

Record 2
## V2IO (PBE with a Hubbard U)

Data for an optimized crystal structure of V2IO.

**SG**: Fm-3m
**Polymorph energy (0 for the lowest one)**: 1014.9 meV/atom

abc: 4.5952 4.5952 4.5952
angles: 60.00 60.00 60.00
Last column: nearest neighbours and their distance in Å.
Fractional positions:
I (0.5000, 0.5000, 0.5000)  8 V 2.81
O (0.0000, 0.0000, 0.0000)  8 V 2.81
V (0.2500, 0.2500, 0.2500)  4 I 2.81, 4 O 2.81
V (0.7500, 0.7500, 0.7500)  4 I 2.81, 4 O 2.81

***

Repeat the second record exactly.
## V2IO (PBE with a Hubbard U)

Data for an optimized crystal structure of V2IO.

**SG**: Fm-3m
**Polymorph energy (0 for the lowest one)**: 1014.9 meV/atom

abc: 4.5952 4.5952 4.5952
angles: 60.00 60.00 60.00
Last column: nearest neighbours and their distance in Å.
Fractional positions:
I (0.5000, 0.5000, 0.5000)  8 V 2.81
O (0.0000, 0.0000, 0.0000)  8 V 2.81
V (0.2500, 0.2500, 0.2500)  4 I 2.81, 4 O 2.81
V (0.7500, 0.7500, 0.7500)  4 I 2.81, 4 O 2.81

***

Number 1 is which compound? NaCoF5